No. 1
# PBE YNbN3, relaxed
# - Spin magnetization: 0.98 μB per formula unit
# - Uncorrected formation energy: -0.876 eV per atom
# - Crystal system: monoclinic
data_YNbN3
_chemical_formula_sum 'Y2 Nb2 N6'
_space_group_name_H-M_alt 'P 1 21/m 1'
_space_group_IT_number 11
_space_group_name_Hall '-P 2yb'
_cell_length_a 5.643
_cell_length_b 3.743
_cell_length_c 8.258
_cell_angle_alpha 90.00
_cell_angle_beta 109.12
_cell_angle_gamma 90.00
loop_
_atom_site_label
_atom_site_type_symbol
_atom_site_fract_x
_atom_site_fract_y
_atom_site_fract_z
Y1 Y 0.043 0.250 0.321
Nb1 Nb 0.484 0.250 0.832
N1 N 0.193 0.250 0.616
N2 N 0.234 0.750 0.243
N3 N 0.369 0.750 0.885


No. 2
# PBE Y3NbN, relaxed
# - Spin magnetization: 0.00 μB per formula unit
# - Uncorrected formation energy: 1.475 eV per atom
# - Crystal system: cubic
data_Y3NbN
_chemical_formula_sum 'Y3 Nb1 N1'
_space_group_name_H-M_alt 'P m -3 m'
_space_group_IT_number 221
_space_group_name_Hall '-P 4 2 3'
_cell_length_a 5.317
_cell_length_b 5.317
_cell_length_c 5.317
_cell_angle_alpha 90.00
_cell_angle_beta 90.00
_cell_angle_gamma 90.00
loop_
_atom_site_label
_atom_site_type_symbol
_atom_site_fract_x
_atom_site_fract_y
_atom_site_fract_z
Y1 Y 0.000 0.000 0.500
Nb1 Nb 0.000 0.000 0.000
N1 N 0.500 0.500 0.500


No. 3
# PBE YNb3N, relaxed
# - Spin magnetization: 0.00 μB per formula unit
# - Uncorrected formation energy: 3.161 eV per atom
# - Crystal system: cubic
data_YNb3N
_chemical_formula_sum 'Y1 Nb3 N1'
_space_group_name_H-M_alt 'P m -3 m'
_space_group_IT_number 221
_space_group_name_Hall '-P 4 2 3'
_cell_length_a 4.912
_cell_length_b 4.912
_cell_length_c 4.912
_cell_angle_alpha 90.00
_cell_angle_beta 90.00
_cell_angle_gamma 90.00
loop_
_atom_site_label
_atom_site_type_symbol
_atom_site_fract_x
_atom_site_fract_y
_atom_site_fract_z
Y1 Y 0.000 0.000 0.000
Nb1 Nb 0.000 0.000 0.500
N1 N 0.500 0.500 0.500


No. 4
# PBE YNb2N, relaxed
# - Spin magnetization: 0.00 μB per formula unit
# - Uncorrected formation energy: -0.076 eV per atom
# - Crystal system: tetragonal
data_YNb2N
_chemical_formula_sum 'Y4 Nb8 N4'
_space_group_name_H-M_alt 'I -4 2 d'
_space_group_IT_number 122
_space_group_name_Hall 'I -4 2bw'
_cell_length_a 6.392
_cell_length_b 6.392
_cell_length_c 8.942
_cell_angle_alpha 90.00
_cell_angle_beta 90.00
_cell_angle_gamma 90.00
loop_
_atom_site_label
_atom_site_type_symbol
_atom_site_fract_x
_atom_site_fract_y
_atom_site_fract_z
Y1 Y 0.000 0.000 0.000
Nb1 Nb 0.026 0.750 0.625
N1 N 0.000 0.000 0.500


No. 5
# PBE Y2NbZnN, relaxed
# - Spin magnetization: 1.87 μB per formula unit
# - Uncorrected formation energy: 1.503 eV per atom
# - Crystal system: tetragonal
data_Y2NbZnN
_chemical_formula_sum 'Y2 Nb1 Zn1 N1'
_space_group_name_H-M_alt 'P 4/m m m'
_space_group_IT_number 123
_space_group_name_Hall '-P 4 2'
_cell_length_a 5.363
_cell_length_b 5.363
_cell_length_c 4.898
_cell_angle_alpha 90.00
_cell_angle_beta 90.00
_cell_angle_gamma 90.00
loop_
_atom_site_label
_atom_site_type_symbol
_atom_site_fract_x
_atom_site_fract_y
_atom_site_fract_z
Y1 Y 0.000 0.500 0.000
Nb1 Nb 0.000 0.000 0.000
Zn1 Zn 0.000 0.000 0.500
N1 N 0.500 0.500 0.500


No. 6
# PBE Y2NbZnN, relaxed
# - Spin magnetization: 0.78 μB per formula unit
# - Uncorrected formation energy: -0.639 eV per atom
# - Crystal system: tetragonal
data_Y2NbZnN
_chemical_formula_sum 'Y2 Nb1 Zn1 N1'
_space_group_name_H-M_alt 'P 4/m m m'
_space_group_IT_number 123
_space_group_name_Hall '-P 4 2'
_cell_length_a 4.824
_cell_length_b 4.824
_cell_length_c 4.215
_cell_angle_alpha 90.00
_cell_angle_beta 90.00
_cell_angle_gamma 90.00
loop_
_atom_site_label
_atom_site_type_symbol
_atom_site_fract_x
_atom_site_fract_y
_atom_site_fract_z
Y1 Y 0.000 0.500 0.000
Nb1 Nb 0.000 0.000 0.500
Zn1 Zn 0.500 0.500 0.500
N1 N 0.000 0.000 0.000